Entry from the Alexandria database: a geometry-optimized Sr2TaCr structure (PBE).

Results
Spin magnetization = 5.1 μB per cell
Space group = P4/mmm (123)
Crystal system = tetragonal
N(E_F) = 3.91 states/eV/f.u.
DFT formation energy = 1.092 eV per atom

Cell lengths 3.350, 3.350, 10.201 Å; angles 90.00, 90.00, 90.00 degrees
Each line ends with the local moment (μB).
Atoms (fractional coordinates):
Cr1 0.500 0.500 0.750  4.00
Sr1 0.000 0.000 0.005  0.01
Sr2 0.000 0.000 0.495  0.01
Ta1 0.500 0.500 0.250  0.16

***

Entry from the Alexandria database: a geometry-optimized TlCo2SnCl8 structure (PBE).

Results
Spin magnetization = 7.0 μB per cell
Space group = R-3 (148)
Crystal system = trigonal
N(E_F) = 10.32 states/eV/f.u.
ΔE_f (raw) = -0.742 eV/atom

Cell lengths 6.500, 6.500, 10.168 Å; angles 71.36, 71.36, 60.00 degrees
Each line ends with the local moment (μB).
Atoms (fractional coordinates):
Tl1 0.500 0.500 0.500  0.00
Co1 0.248 0.248 0.255  2.54
Co2 0.752 0.752 0.745  2.54
Sn1 0.000 0.000 0.000  0.07
Cl1 0.172 0.172 0.485  0.19
Cl2 0.589 0.292 0.178  0.14
Cl3 0.828 0.828 0.515  0.19
Cl4 0.941 0.589 0.178  0.14
Cl5 0.059 0.411 0.822  0.14
Cl6 0.292 0.941 0.178  0.14
Cl7 0.708 0.059 0.822  0.14
Cl8 0.411 0.708 0.822  0.14

***

Entry from the Alexandria database: a geometry-optimized GdTmAlPd structure (PBE).

Results
Spin magnetization = 7.2 μB per cell
Space group = F-43m (216)
Crystal system = cubic
N(E_F) = 3.05 states/eV/f.u.
DFT formation energy = -0.577 eV per atom

Cell lengths 5.046, 5.046, 5.046 Å; angles 60.00, 60.00, 60.00 degrees
Each line ends with the local moment (μB).
Atoms (fractional coordinates):
Gd1 0.500 0.500 0.500  7.02
Tm1 0.000 0.000 0.000  0.01
Al1 0.750 0.750 0.750  0.00
Pd1 0.250 0.250 0.250  0.01

***

Entry from the Alexandria database: a geometry-optimized YHoH2 structure (PBE).

Results
Spin magnetization = 0.0 μB per cell
Space group = R-3m (166)
Crystal system = trigonal
N(E_F) = 2.10 states/eV/f.u.
Total energy = -19.827 eV per cell

Cell lengths 3.635, 3.635, 6.251 Å; angles 73.10, 73.10, 60.00 degrees
Atoms (fractional coordinates):
Y1 0.500 0.500 0.500
H1 0.125 0.125 0.625
H2 0.875 0.875 0.375
Ho1 0.000 0.000 0.000

***

Entry from the Alexandria database: a geometry-optimized TbY2Pt structure (PBE).

Results
Spin magnetization = 0.0 μB per cell
Space group = R3m (160)
Crystal system = trigonal
N(E_F) = 4.86 states/eV/f.u.
DFT formation energy = -0.501 eV per atom

Cell lengths 3.919, 3.919, 9.337 Å; angles 77.89, 77.89, 60.00 degrees
Atoms (fractional coordinates):
Tb1 0.502 0.502 0.495
Y1 0.061 0.061 0.817
Y2 0.272 0.272 0.185
Pt1 0.666 0.666 0.003

***

Entry from the Alexandria database: a geometry-optimized Li2VAsRu structure (PBE).

Results
Spin magnetization = 0.5 μB per cell
Space group = P4/mmm (123)
Crystal system = tetragonal
N(E_F) = 5.92 states/eV/f.u.
DFT formation energy = 0.679 eV per atom

Cell lengths 4.238, 4.657, 4.238 Å; angles 90.00, 90.00, 90.00 degrees
Each line ends with the local moment (μB).
Atoms (fractional coordinates):
Ru1 0.500 0.500 0.500  0.02
As1 0.000 0.000 0.000  -0.02
Li1 0.000 0.000 0.500  -0.01
Li2 0.500 0.000 0.000  0.00
V1 0.000 0.500 0.000  0.40

***

Entry from the Alexandria database: a geometry-optimized MnZn7Cu4 structure (PBE).

Results
Spin magnetization = 3.5 μB per cell
Space group = P-1 (2)
Crystal system = triclinic
N(E_F) = 4.39 states/eV/f.u.
DFT formation energy = -0.027 eV per atom

Cell lengths 5.354, 4.637, 9.311 Å; angles 85.17, 45.03, 89.19 degrees
Each line ends with the local moment (μB).
Atoms (fractional coordinates):
Mn1 0.000 0.000 0.000  3.37
Zn1 0.743 0.496 0.009  -0.01
Zn2 0.257 0.504 0.991  -0.01
Zn3 0.931 0.379 0.658  0.01
Zn4 0.069 0.621 0.342  0.01
Zn5 0.182 0.880 0.661  -0.01
Zn6 0.500 0.000 0.000  -0.03
Zn7 0.818 0.120 0.339  -0.01
Cu1 0.584 0.614 0.332  0.03
Cu2 0.416 0.386 0.668  0.03
Cu3 0.670 0.892 0.666  0.02
Cu4 0.330 0.108 0.334  0.02

***

Entry from the Alexandria database: a geometry-optimized Ce3AlZn2 structure (PBE).

Results
Spin magnetization = 1.3 μB per cell
Space group = Cmmm (65)
Crystal system = orthorhombic
N(E_F) = 15.25 states/eV/f.u.
DFT formation energy = -0.206 eV per atom

Cell lengths 3.563, 5.181, 8.183 Å; angles 108.45, 90.00, 90.00 degrees
Each line ends with the local moment (μB).
Atoms (fractional coordinates):
Ce1 0.500 0.500 0.000  0.47
Ce2 0.500 0.832 0.664  0.36
Ce3 0.500 0.168 0.336  0.36
Al1 0.000 0.000 0.000  0.00
Zn1 0.000 0.333 0.665  0.00
Zn2 0.000 0.667 0.335  0.00

***

Number 5 is which compound?
TbY2Pt